Entry 1:
# B7C5 GGA-PBE relaxed
# polymorph energy (0 for the lowest one)	365	meV per atom
# total magnetic moment	0.00	μB/f.u.
data_B7C5
_chemical_formula_sum 'B7 C5'
_symmetry_space_group_name_H-M 'P 3 m 1'
_symmetry_Int_Tables_number 156
_symmetry_space_group_name_Hall 'P 3 -2"'
_cell_length_a 2.5649
_cell_length_b 2.5649
_cell_length_c 14.5773
_cell_angle_alpha 90.00
_cell_angle_beta 90.00
_cell_angle_gamma 120.00
loop_
_atom_site_label
_atom_site_type_symbol
_atom_site_fract_x
_atom_site_fract_y
_atom_site_fract_z
B1 B 0.0000 0.0000 0.0000
B2 B 0.0000 0.0000 0.1161
B3 B 0.0000 0.0000 0.4889
B4 B 0.0000 0.0000 0.6053
B5 B 0.3333 0.6667 0.1919
B6 B 0.3333 0.6667 0.6841
B7 B 0.3333 0.6667 0.8006
C1 C 0.3333 0.6667 0.2997
C2 C 0.6667 0.3333 0.3370
C3 C 0.6667 0.3333 0.4399
C4 C 0.6667 0.3333 0.8529
C5 C 0.6667 0.3333 0.9488

Entry 2:
# BC GGA-PBE relaxed
# polymorph energy (0 for the lowest one)	237	meV per atom
# total magnetic moment	0.00	μB/f.u.
data_BC
_chemical_formula_sum 'B6 C6'
_symmetry_space_group_name_H-M 'P 1'
_symmetry_Int_Tables_number 1
_symmetry_space_group_name_Hall 'P 1'
_cell_length_a 3.776
_cell_length_b 4.873
_cell_length_c 5.207
_cell_angle_alpha 72.30
_cell_angle_beta 89.38
_cell_angle_gamma 68.26
loop_
_atom_site_label
_atom_site_type_symbol
_atom_site_fract_x
_atom_site_fract_y
_atom_site_fract_z
B1 B 0.000 0.000 0.000
B2 B 0.002 0.959 0.530
B3 B 0.031 0.391 0.971
B4 B 0.049 0.368 0.329
B5 B 0.372 0.336 0.727
B6 B 0.635 0.642 0.365
C1 C 0.392 0.394 0.174
C2 C 0.397 0.721 0.085
C3 C 0.415 0.684 0.611
C4 C 0.643 0.710 0.849
C5 C 0.726 0.015 0.757
C6 C 0.818 0.173 0.217

Entry 3:
# B3C GGA-PBE relaxed
# polymorph energy (0 for the lowest one)	97	meV per atom
# total magnetic moment	0.00	μB/f.u.
data_B3C
_chemical_formula_sum 'B12 C4'
_symmetry_space_group_name_H-M 'C 1 m 1'
_symmetry_Int_Tables_number 8
_symmetry_space_group_name_Hall 'C -2y'
_cell_length_a 7.923
_cell_length_b 2.652
_cell_length_c 5.252
_cell_angle_alpha 90.00
_cell_angle_beta 102.60
_cell_angle_gamma 90.00
loop_
_atom_site_label
_atom_site_type_symbol
_atom_site_fract_x
_atom_site_fract_y
_atom_site_fract_z
B1 B 0.000 0.000 0.000
B2 B 0.002 0.500 0.467
B3 B 0.179 0.500 0.335
B4 B 0.225 0.500 0.709
B5 B 0.263 0.000 0.159
B6 B 0.452 0.500 0.659
C1 C 0.164 0.000 0.845
C2 C 0.467 0.000 0.151